Entry from the Alexandria database: Na2PrCrF8 after structural relaxation (PBE with a Hubbard U).

Unit cell a=4.3197 b=5.4575 c=7.1482 alpha=90.00 beta=90.00 gamma=92.18
Element x y z (fractional)
Cr 0.0000 0.0000 0.0000
Na 0.5000 0.5000 0.2275
F 0.5463 0.7555 0.5000
F 0.8866 0.2116 0.2164
F 0.8866 0.2116 0.7836
Na 0.5000 0.5000 0.7725
Pr 0.0000 0.0000 0.5000
F 0.6422 0.7801 0.0000
F 0.1134 0.7884 0.2164
F 0.4537 0.2445 0.5000
F 0.1134 0.7884 0.7836
F 0.3578 0.2199 0.0000

**Total moment**: 0.25 μB per atom
**N(E_F)**: 0.00 states/eV/atom
**E_tot**: -5.6435 eV/atom
**SG**: P2/m (10)